Density functional theory data (PBE) for an optimized crystal structure of AcGaS3.

Geometry as POSCAR:
```
AcGaS3
1.0
6.166 -4.507 0.000
6.166 4.507 0.000
-0.105 0.000 4.516
Ac Ga S
2 2 6
direct
0.227 0.227 0.247 Ac
0.773 0.773 0.753 Ac
0.320 0.680 0.500 Ga
0.680 0.320 0.500 Ga
0.063 0.665 0.258 S
0.335 0.937 0.742 S
0.399 0.399 0.746 S
0.601 0.601 0.254 S
0.665 0.063 0.258 S
0.937 0.335 0.742 S
```

space group = No. 12
size of the total moment = 0.0 μB per formula unit
raw formation energy = -1420 meV per atom
total DFT energy (no corrections) = -5.323 eV per atom


Density functional theory data (PBE) for an optimized crystal structure of CsYIn2Br6.

Geometry as POSCAR:
```
CsYIn2Br6
1.0
4.129 2.384 7.231
-4.129 2.384 7.231
0.000 -4.767 7.231
Cs Y In Br
1 1 2 6
direct
0.000 0.000 0.000 Cs
0.484 0.484 0.484 Y
0.288 0.288 0.288 In
0.802 0.802 0.802 In
0.118 0.649 0.434 Br
0.260 0.568 0.833 Br
0.434 0.118 0.649 Br
0.568 0.833 0.260 Br
0.649 0.434 0.118 Br
0.833 0.260 0.568 Br
```

space group = No. 146
size of the total moment = 0.0 μB per formula unit
raw formation energy = -1388 meV per atom
total DFT energy (no corrections) = -3.671 eV per atom


Density functional theory data (PBE) for an optimized crystal structure of In5HgBi3.

Geometry as POSCAR:
```
In5HgBi3
1.0
9.456 0.000 0.000
-4.728 8.189 0.000
0.000 0.000 6.831
In Hg Bi
10 2 6
direct
0.000 0.311 0.250 In
0.000 0.689 0.750 In
0.311 0.000 0.250 In
0.311 0.311 0.750 In
0.333 0.667 0.000 In
0.333 0.667 0.500 In
0.667 0.333 0.000 In
0.667 0.333 0.500 In
0.689 0.000 0.750 In
0.689 0.689 0.250 In
0.000 0.000 0.000 Hg
0.000 0.000 0.500 Hg
0.000 0.352 0.750 Bi
0.000 0.648 0.250 Bi
0.352 0.000 0.750 Bi
0.352 0.352 0.250 Bi
0.648 0.000 0.250 Bi
0.648 0.648 0.750 Bi
```

space group = No. 193
size of the total moment = 0.0 μB per formula unit
ΔE_f = 0.021 eV/atom
total DFT energy (no corrections) = -2.827 eV per atom


Density functional theory data (PBE) for an optimized crystal structure of LaTl2BiSe4.

Geometry as POSCAR:
```
LaTl2BiSe4
1.0
7.558 0.000 0.000
0.000 4.372 0.000
-2.539 0.000 7.687
La Tl Bi Se
1 2 1 4
direct
0.000 0.000 0.000 La
0.000 0.500 0.500 Tl
0.500 0.000 0.500 Tl
0.500 0.500 0.000 Bi
0.240 0.500 0.213 Se
0.265 0.000 0.786 Se
0.735 0.000 0.214 Se
0.760 0.500 0.787 Se
```

space group = No. 10
size of the total moment = 0.0 μB per formula unit
raw formation energy = -949 meV per atom
total DFT energy (no corrections) = -4.384 eV per atom